No. 1
An optimized crystal structure of NiMo2Pb, computed with PBE-GGA.

Computed properties:
total energy = -7.323 eV per atom
formation enthalpy at 0 K = 465 meV/atom

abc: 4.165 2.916 5.766
angles: 78.32 90.00 90.00
Atoms (fractional coordinates):
1 Ni 0.000 0.641 0.464
2 Mo 0.500 0.229 0.262
3 Mo 0.000 0.016 0.032
4 Pb 0.500 0.614 0.743


No. 2
An optimized crystal structure of NiMo2Pb, computed with PBE-GGA.

Computed properties:
total energy = -6.944 eV per atom
formation enthalpy at 0 K = 844 meV/atom

abc: 7.354 7.354 5.824
angles: 50.85 50.85 90.00
Atoms (fractional coordinates):
1 Pb 0.000 0.000 0.000
2 Ni 0.250 0.750 0.500
3 Mo 0.585 0.125 0.250
4 Mo 0.875 0.835 0.750
5 Ni 0.500 0.500 0.000
6 Mo 0.165 0.625 0.250
7 Mo 0.375 0.415 0.750
8 Pb 0.750 0.250 0.500


- What is the total energy in the first record?
  -7.323 eV per atom


- Number 1 is which compound?
  NiMo2Pb


- Look up the total energy of the first one.
  -7.323 eV per atom